This record from Alexandria describes crystalline ZnMo2Rh at its relaxed geometry. The functional is PBE.

Results
The calculation puts the total magnetization at 0.00 μB per formula unit. The value obtained for the density of states at the Fermi level is 0.85 states/eV/atom. Its total energy is -7.5582 eV/atom. Its energy of formation from the pure elements is 14 meV per atom.

```
ZnMo2Rh
1.0
2.728 0.000 0.000
0.000 3.952 0.000
0.000 0.000 5.566
Mo Rh Zn
2 1 1
Cartesian
0.000 0.000 5.518
1.364 1.976 1.398
0.000 0.000 2.874
1.364 1.976 4.126
```

---

This record from Alexandria describes crystalline ZnMo2Rh9 at its relaxed geometry. The functional is PBE.

Results
The calculation puts the total magnetization at 0.00 μB per formula unit. The value obtained for the density of states at the Fermi level is 0.80 states/eV/atom. Its total energy is -7.6487 eV/atom. Its energy of formation from the pure elements is -224 meV per atom.

```
ZnMo2Rh9
1.0
-2.464 1.195 2.716
-2.966 -1.081 -2.216
0.223 -10.521 4.834
Zn Mo Rh
1 2 9
Cartesian
0.000 0.000 0.000
0.073 -3.432 1.577
0.150 -7.089 3.257
-2.715 0.057 0.250
-2.640 -3.477 1.874
-2.567 -6.929 3.460
-1.194 -1.193 2.181
-1.121 -4.663 3.775
-1.047 -8.133 5.369
-1.445 -2.331 -0.285
-1.371 -5.801 1.309
-1.298 -9.271 2.903
```